Density functional theory data (SCAN) for a PBEsol-optimized structure of Ba3YAu.

Output
- energy of formation (eV per atom) = 0.69
- N(E_F) (states/eV/f.u.) = 4.39
- SG = Pm-3m, No. 221
- polymorph energy (0 for the lowest one) (meV per atom) = 759.6
- spin magnetization (μB/f.u.) = 0.00
- calculated density (g/cm³) = 4.95

Cell lengths 6.163, 6.163, 6.163 Å; angles 90.00, 90.00, 90.00 degrees
Fractional positions:
Ba1 0.000 0.000 0.500
Ba2 0.000 0.500 0.000
Ba3 0.500 0.000 0.000
Y1 0.000 0.000 0.000
Au1 0.500 0.500 0.500

Density functional theory data (SCAN) for a PBEsol-optimized structure of Ba2YAu.

Output
- energy of formation (eV per atom) = -0.02
- N(E_F) (states/eV/f.u.) = 5.79
- SG = I4/mmm, No. 139
- polymorph energy (0 for the lowest one) (meV per atom) = 0.0
- spin magnetization (μB/f.u.) = 0.00
- calculated density (g/cm³) = 7.36

Cell lengths 6.575, 6.575, 6.575 Å; angles 137.88, 137.88, 61.08 degrees
Fractional positions:
Ba1 0.250 0.750 0.500
Ba2 0.750 0.250 0.500
Y1 0.000 0.000 0.000
Au1 0.500 0.500 0.000

Density functional theory data (SCAN) for a PBEsol-optimized structure of Ba3YAu.

Output
- energy of formation (eV per atom) = -0.07
- N(E_F) (states/eV/f.u.) = 6.49
- SG = Pm-3m, No. 221
- polymorph energy (0 for the lowest one) (meV per atom) = 0.0
- spin magnetization (μB/f.u.) = 0.88
- calculated density (g/cm³) = 4.79

Cell lengths 6.232, 6.232, 6.232 Å; angles 90.00, 90.00, 90.00 degrees
Fractional positions:
Ba1 0.000 0.000 0.500
Ba2 0.000 0.500 0.000
Ba3 0.500 0.000 0.000
Y1 0.500 0.500 0.500
Au1 0.000 0.000 0.000

Density functional theory data (SCAN) for a PBEsol-optimized structure of BaY3Au.

Output
- energy of formation (eV per atom) = 1.16
- N(E_F) (states/eV/f.u.) = 3.26
- SG = Pm-3m, No. 221
- spin magnetization (μB/f.u.) = 0.12
- calculated density (g/cm³) = 6.08

Cell lengths 5.474, 5.474, 5.474 Å; angles 90.00, 90.00, 90.00 degrees
Fractional positions:
Ba1 0.000 0.000 0.000
Y1 0.000 0.000 0.500
Y2 0.000 0.500 0.000
Y3 0.500 0.000 0.000
Au1 0.500 0.500 0.500

Density functional theory data (SCAN) for a PBEsol-optimized structure of BaYAu2.

Output
- energy of formation (eV per atom) = -0.95
- N(E_F) (states/eV/f.u.) = 3.12
- SG = P4/mmm, No. 123
- spin magnetization (μB/f.u.) = 0.00
- calculated density (g/cm³) = 9.92

Cell lengths 3.669, 3.669, 7.711 Å; angles 90.00, 90.00, 90.00 degrees
Fractional positions:
Ba1 0.000 0.000 0.000
Y1 0.000 0.000 0.500
Au1 0.500 0.500 0.303
Au2 0.500 0.500 0.697

Density functional theory data (SCAN) for a PBEsol-optimized structure of BaZn2Au.

Output
- energy of formation (eV per atom) = -0.48
- N(E_F) (states/eV/f.u.) = 2.32
- SG = R-3m, No. 166
- spin magnetization (μB/f.u.) = 0.00
- calculated density (g/cm³) = 7.99

Cell lengths 6.172, 6.172, 6.172 Å; angles 42.37, 42.37, 42.37 degrees
Fractional positions:
Ba1 0.000 0.000 0.000
Zn1 0.195 0.195 0.195
Zn2 0.805 0.805 0.805
Au1 0.500 0.500 0.500

Density functional theory data (SCAN) for a PBEsol-optimized structure of BaZnAu2.

Output
- energy of formation (eV per atom) = -0.64
- N(E_F) (states/eV/f.u.) = 1.67
- SG = Pmm2, No. 25
- spin magnetization (μB/f.u.) = 0.00
- calculated density (g/cm³) = 9.34

Cell lengths 4.394, 4.771, 5.063 Å; angles 90.00, 90.00, 90.00 degrees
Fractional positions:
Ba1 0.000 0.000 0.000
Zn1 0.500 0.500 0.689
Au1 0.500 0.000 0.496
Au2 0.500 0.500 0.186

Density functional theory data (SCAN) for a PBEsol-optimized structure of BaZn2Au.

Output
- energy of formation (eV per atom) = -0.21
- N(E_F) (states/eV/f.u.) = 2.18
- SG = P4mm, No. 99
- spin magnetization (μB/f.u.) = 0.00
- calculated density (g/cm³) = 8.60

Cell lengths 3.536, 3.536, 7.178 Å; angles 90.00, 90.00, 90.00 degrees
Fractional positions:
Ba1 0.000 0.000 0.000
Zn1 0.000 0.000 0.485
Zn2 0.500 0.500 0.675
Au1 0.500 0.500 0.314

Density functional theory data (SCAN) for a PBEsol-optimized structure of BaZn2Au.

Output
- energy of formation (eV per atom) = -0.49
- N(E_F) (states/eV/f.u.) = 1.99
- SG = P1, No. 1
- spin magnetization (μB/f.u.) = 0.00
- calculated density (g/cm³) = 7.86

Cell lengths 4.469, 4.473, 6.216 Å; angles 89.99, 69.15, 60.11 degrees
Fractional positions:
Ba1 0.000 0.000 0.000
Zn1 0.382 0.808 0.428
Zn2 0.982 0.508 0.526
Au1 0.614 0.192 0.581

Density functional theory data (SCAN) for a PBEsol-optimized structure of BaZnAu2.

Output
- energy of formation (eV per atom) = -0.45
- N(E_F) (states/eV/f.u.) = 1.41
- SG = P4/mmm, No. 123
- spin magnetization (μB/f.u.) = 0.00
- calculated density (g/cm³) = 11.04

Cell lengths 3.546, 3.546, 7.140 Å; angles 90.00, 90.00, 90.00 degrees
Fractional positions:
Ba1 0.000 0.000 0.000
Zn1 0.000 0.000 0.500
Au1 0.500 0.500 0.310
Au2 0.500 0.500 0.690

Density functional theory data (SCAN) for a PBEsol-optimized structure of BaZnAu.

Output
- energy of formation (eV per atom) = -0.27
- N(E_F) (states/eV/f.u.) = 1.99
- SG = F-43m, No. 216
- spin magnetization (μB/f.u.) = 0.00
- calculated density (g/cm³) = 7.72

Cell lengths 4.954, 4.954, 4.954 Å; angles 60.00, 60.00, 60.00 degrees
Fractional positions:
Ba1 0.000 0.000 0.000
Zn1 0.750 0.750 0.750
Au1 0.500 0.500 0.500

Density functional theory data (SCAN) for a PBEsol-optimized structure of BaZnAu.

Output
- energy of formation (eV per atom) = -0.08
- N(E_F) (states/eV/f.u.) = 2.03
- SG = F-43m, No. 216
- spin magnetization (μB/f.u.) = 0.00
- calculated density (g/cm³) = 6.50

Cell lengths 5.245, 5.245, 5.245 Å; angles 60.00, 60.00, 60.00 degrees
Fractional positions:
Ba1 0.000 0.000 0.000
Zn1 0.750 0.750 0.750
Au1 0.250 0.250 0.250

Density functional theory data (SCAN) for a PBEsol-optimized structure of BaZnAu2.

Output
- energy of formation (eV per atom) = -0.61
- N(E_F) (states/eV/f.u.) = 1.30
- SG = R3m, No. 160
- spin magnetization (μB/f.u.) = 0.00
- calculated density (g/cm³) = 9.97

Cell lengths 6.186, 6.186, 6.186 Å; angles 42.88, 42.88, 42.88 degrees
Fractional positions:
Ba1 0.000 0.000 0.000
Zn1 0.804 0.804 0.804
Au1 0.199 0.199 0.199
Au2 0.471 0.471 0.471

Density functional theory data (SCAN) for a PBEsol-optimized structure of BaZnAu.

Output
- energy of formation (eV per atom) = -0.65
- N(E_F) (states/eV/f.u.) = 2.35
- SG = P-6m2, No. 187
- spin magnetization (μB/f.u.) = 0.00
- calculated density (g/cm³) = 8.22

Cell lengths 4.571, 4.571, 4.462 Å; angles 90.00, 90.00, 120.00 degrees
Fractional positions:
Ba1 0.000 0.000 0.000
Zn1 0.333 0.667 0.500
Au1 0.667 0.333 0.500

Density functional theory data (SCAN) for a PBEsol-optimized structure of BaZnAu2.

Output
- energy of formation (eV per atom) = -0.30
- N(E_F) (states/eV/f.u.) = 0.66
- SG = F-43m, No. 216
- spin magnetization (μB/f.u.) = 0.00
- calculated density (g/cm³) = 10.60

Cell lengths 5.094, 5.094, 5.094 Å; angles 60.00, 60.00, 60.00 degrees
Fractional positions:
Ba1 0.000 0.000 0.000
Zn1 0.750 0.750 0.750
Au1 0.250 0.250 0.250
Au2 0.500 0.500 0.500

Density functional theory data (SCAN) for a PBEsol-optimized structure of BaZrAu2.

Output
- energy of formation (eV per atom) = -0.68
- N(E_F) (states/eV/f.u.) = 2.18
- SG = R-3m, No. 166
- spin magnetization (μB/f.u.) = 0.00
- calculated density (g/cm³) = 9.21

Cell lengths 6.368, 6.368, 6.368 Å; angles 43.79, 43.79, 43.79 degrees
Fractional positions:
Ba1 0.000 0.000 0.000
Zr1 0.500 0.500 0.500
Au1 0.194 0.194 0.194
Au2 0.806 0.806 0.806

Density functional theory data (SCAN) for a PBEsol-optimized structure of BaZr2Au.

Output
- energy of formation (eV per atom) = -0.25
- N(E_F) (states/eV/f.u.) = 2.15
- SG = P4mm, No. 99
- spin magnetization (μB/f.u.) = 0.00
- calculated density (g/cm³) = 8.21

Cell lengths 3.389, 3.389, 9.106 Å; angles 90.00, 90.00, 90.00 degrees
Fractional positions:
Ba1 0.000 0.000 0.000
Zr1 0.000 0.000 0.561
Zr2 0.500 0.500 0.348
Au1 0.500 0.500 0.729

Density functional theory data (SCAN) for a PBEsol-optimized structure of BeAu.

Output
- energy of formation (eV per atom) = -0.18
- N(E_F) (states/eV/f.u.) = 0.57
- SG = P-3m1, No. 164
- spin magnetization (μB/f.u.) = 0.00
- calculated density (g/cm³) = 12.20

Cell lengths 3.377, 3.377, 5.677 Å; angles 90.00, 90.00, 120.00 degrees
Fractional positions:
Be1 0.333 0.667 0.105
Be2 0.667 0.333 0.895
Au1 0.333 0.667 0.685
Au2 0.667 0.333 0.315

Density functional theory data (SCAN) for a PBEsol-optimized structure of BeAu.

Output
- energy of formation (eV per atom) = -0.22
- N(E_F) (states/eV/f.u.) = 0.24
- SG = Imma, No. 74
- spin magnetization (μB/f.u.) = 0.00
- calculated density (g/cm³) = 13.31

Cell lengths 4.872, 4.872, 4.872 Å; angles 140.90, 134.56, 61.47 degrees
Fractional positions:
Be1 0.367 0.117 0.250
Be2 0.633 0.883 0.750
Au1 0.131 0.381 0.750
Au2 0.869 0.619 0.250

Density functional theory data (SCAN) for a PBEsol-optimized structure of BeAu.

Output
- energy of formation (eV per atom) = -0.23
- N(E_F) (states/eV/f.u.) = 0.37
- SG = Pbcm, No. 57
- spin magnetization (μB/f.u.) = 0.00
- calculated density (g/cm³) = 13.42

Cell lengths 8.348, 6.973, 5.254 Å; angles 90.00, 90.00, 90.00 degrees
Fractional positions:
Be1 0.066 0.041 0.250
Be2 0.066 0.459 0.750
Be3 0.366 0.613 0.250
Be4 0.366 0.887 0.750
Be5 0.427 0.250 0.000
Be6 0.427 0.250 0.500
Be7 0.573 0.750 0.000
Be8 0.573 0.750 0.500
Be9 0.634 0.113 0.250
Be10 0.634 0.387 0.750
Be11 0.934 0.541 0.250
Be12 0.934 0.959 0.750
Au1 0.125 0.750 0.000
Au2 0.125 0.750 0.500
Au3 0.182 0.147 0.750
Au4 0.182 0.353 0.250
Au5 0.379 0.535 0.750
Au6 0.379 0.965 0.250
Au7 0.621 0.035 0.750
Au8 0.621 0.465 0.250
Au9 0.818 0.647 0.750
Au10 0.818 0.853 0.250
Au11 0.875 0.250 0.000
Au12 0.875 0.250 0.500